Entry 1:
Computed, not measured: a relaxed structure of Y6Ho3Er2Th at the PBE-GGA level of DFT.

The structure in extended XYZ format:
```
12
Lattice="3.077 -5.326 0.000 3.077 5.326 0.000 -2.050 0.000 11.599" Properties=species:S:1:pos:R:3 pbc="T T T"
Y -0.004 1.761 8.693
Y 1.005 0.000 2.908
Y -0.004 -1.761 8.693
Y 4.108 1.761 2.906
Y 3.099 0.000 8.691
Y 4.108 -1.761 2.906
Ho 3.077 3.543 0.000
Ho 3.077 0.000 0.000
Ho 3.077 -3.543 0.000
Er 2.052 1.776 5.800
Er 2.052 -1.776 5.800
Th -1.025 0.000 5.800
```

calculated total energy	-68.74	eV/f.u.
crystal system	monoclinic
E_form	0.027	eV per atom
symmetry	No. 12

---

Entry 2:
Computed, not measured: a relaxed structure of Y6HoEr2Th at the PBE-GGA level of DFT.

The structure in extended XYZ format:
```
20
Lattice="4.657 -7.531 0.000 4.657 7.531 0.000 -0.722 0.000 9.232" Properties=species:S:1:pos:R:3 pbc="T T T"
Y 2.522 4.220 1.733
Y 3.746 4.909 5.159
Y 4.485 4.909 8.689
Y 3.471 1.759 3.629
Y 6.431 4.220 2.883
Y 5.482 1.759 0.987
Y 3.110 -1.759 8.245
Y 2.161 -4.220 6.349
Y 5.121 -1.759 5.603
Y 4.107 -4.909 0.543
Y 4.846 -4.909 4.073
Y 6.070 -4.220 7.499
Ho 4.115 1.267 6.924
Ho 4.477 -1.267 2.308
Er 2.328 0.787 0.524
Er 1.967 -0.787 5.140
Er 6.625 0.787 4.092
Er 6.264 -0.787 8.708
Th 4.477 7.015 2.308
Th 4.115 -7.015 6.924
```

calculated total energy	-58.42	eV/f.u.
crystal system	monoclinic
E_form	0.149	eV per atom
symmetry	No. 15

---

Entry 3:
Computed, not measured: a relaxed structure of YHoErTh at the PBE-GGA level of DFT.

The structure in extended XYZ format:
```
4
Lattice="1.791 1.034 11.383 -1.791 1.034 11.383 0.000 -2.068 11.383" Properties=species:S:1:pos:R:3 pbc="T T T"
Y 0.000 0.000 0.000
Ho 0.000 0.000 19.853
Er 0.000 0.000 28.405
Th 0.000 0.000 14.243
```

calculated total energy	-23.00	eV/f.u.
crystal system	trigonal
E_form	0.005	eV per atom
ΔE to the lowest computed polymorph	0.0000	eV per atom
symmetry	No. 160

---

Entry 4:
Computed, not measured: a relaxed structure of Y3Ho6Er2Th at the PBE-GGA level of DFT.

The structure in extended XYZ format:
```
12
Lattice="3.067 -5.308 0.000 3.067 5.308 0.000 -2.045 0.000 11.569" Properties=species:S:1:pos:R:3 pbc="T T T"
Y 0.000 0.000 0.000
Y 3.067 1.777 0.000
Y 3.067 -1.777 0.000
Ho 1.027 1.753 2.914
Ho 0.023 0.000 8.654
Ho 1.027 -1.753 2.914
Ho 3.061 1.753 8.655
Ho 4.065 0.000 2.915
Ho 3.061 -1.753 8.655
Er 2.044 3.538 5.785
Er 2.044 -3.538 5.785
Th 2.044 0.000 5.785
```

calculated total energy	-63.10	eV/f.u.
crystal system	monoclinic
E_form	0.026	eV per atom
symmetry	No. 12

---

Values of M_tot, in order: 0.000; 0.000; 0.402; 0.000, all in μB/f.u..